VASP calculation (GGA-PBEsol) on CaYSb2N after structural relaxation.

crystal system: tetragonal
D(E_F): 4.2 states/eV/f.u.
energy relative to the elements, uncorrected: 0.453 eV per atom
VASP energy: -24.33 eV per formula unit

Lattice parameters (Å, degrees): 4.145 5.626 5.626 90.00 90.00 90.00
Each line ends with the local moment (μB).
Fractional positions:
1 Sb 0.000 0.000 0.500  0.01
2 Ca 0.000 0.000 0.000  0.02
3 Y 0.500 0.500 0.500  -0.01
4 Sb 0.000 0.500 0.000  0.01
5 N 0.500 0.000 0.000  0.54


VASP calculation (GGA-PBEsol) on Ca4SeN4 after structural relaxation.

crystal system: orthorhombic
D(E_F): 3.2 states/eV/f.u.
energy relative to the elements, uncorrected: -1.037 eV per atom
VASP energy: -55.82 eV per formula unit

Lattice parameters (Å, degrees): 3.606 12.741 13.262 90.00 90.00 90.00
Fractional positions:
1 Ca 0.250 0.458 0.870
2 N 0.750 0.367 0.378
3 Se 0.750 0.134 0.588
4 Se 0.750 0.634 0.912
5 Ca 0.750 0.732 0.530
6 N 0.750 0.867 0.122
7 Ca 0.250 0.007 0.116
8 Se 0.250 0.366 0.088
9 N 0.750 0.831 0.665
10 N 0.750 0.407 0.468
11 N 0.250 0.133 0.878
12 Ca 0.750 0.042 0.370
13 N 0.750 0.389 0.752
14 Ca 0.750 0.993 0.884
15 N 0.250 0.593 0.532
16 Ca 0.750 0.542 0.130
17 Ca 0.750 0.259 0.242
18 N 0.750 0.907 0.032
19 N 0.750 0.331 0.835
20 N 0.250 0.611 0.248
21 Ca 0.250 0.768 0.030
22 N 0.750 0.889 0.748
23 Ca 0.250 0.958 0.630
24 N 0.250 0.169 0.335
25 N 0.250 0.111 0.252
26 Ca 0.750 0.232 0.970
27 Ca 0.250 0.507 0.384
28 Ca 0.750 0.759 0.258
29 Ca 0.250 0.741 0.758
30 Ca 0.250 0.268 0.470
31 N 0.250 0.093 0.968
32 Se 0.250 0.866 0.412
33 Ca 0.750 0.493 0.616
34 Ca 0.250 0.241 0.742
35 N 0.250 0.669 0.165
36 N 0.250 0.633 0.622


VASP calculation (GGA-PBEsol) on CaTcSe2N after structural relaxation.

crystal system: tetragonal
D(E_F): 3.1 states/eV/f.u.
energy relative to the elements, uncorrected: 1.318 eV per atom
VASP energy: -23.04 eV per formula unit

Lattice parameters (Å, degrees): 4.256 5.335 5.335 90.00 90.00 90.00
Each line ends with the local moment (μB).
Fractional positions:
1 Ca 0.000 0.000 0.000  0.05
2 Se 0.000 0.000 0.500  0.07
3 Se 0.000 0.500 0.000  0.07
4 N 0.500 0.000 0.000  1.33
5 Tc 0.500 0.500 0.500  3.99


| no. | mass density (Mg/m³) |
| --- | --- |
| 1 | 4.89 |
| 2 | 3.22 |
| 3 | 4.25 |